[1]
A plane-wave DFT calculation with PBE was carried out for a geometry-optimized Ti5NbRe6 structure.

## Properties
**Symmetry**: Immm, No. 71
**Crystal system**: orthorhombic

Cell: 4.422 6.266 7.674 Å, 114.10 106.75 90.00°
Fractional coordinates of all 12 atoms:
1 Nb 0.000 0.000 0.000
2 Re 0.833 0.582 0.665
3 Re 0.500 0.747 0.000
4 Re 0.500 0.253 0.000
5 Re 0.167 0.916 0.335
6 Re 0.167 0.418 0.335
7 Re 0.833 0.084 0.665
8 Ti 0.333 0.333 0.667
9 Ti 0.000 0.500 0.000
10 Ti 0.667 0.667 0.333
11 Ti 0.668 0.168 0.336
12 Ti 0.332 0.832 0.664

---

[2]
A plane-wave DFT calculation with PBE was carried out for a geometry-optimized TiNb5Re6 structure.

## Properties
**Symmetry**: Immm, No. 71
**Crystal system**: orthorhombic

Cell: 4.512 7.816 7.816 Å, 119.97 106.79 106.79°
Fractional coordinates of all 12 atoms:
1 Nb 0.000 0.333 0.667
2 Nb 0.500 0.500 0.500
3 Nb 0.500 0.165 0.835
4 Nb 0.500 0.835 0.165
5 Nb 0.000 0.667 0.333
6 Ti 0.000 0.000 0.000
7 Re 0.751 0.585 0.917
8 Re 0.249 0.083 0.415
9 Re 0.748 0.248 0.248
10 Re 0.249 0.415 0.083
11 Re 0.751 0.917 0.585
12 Re 0.252 0.752 0.752

---

Number 1: ρ 13.07 Mg/m³, total magnetic moment 0.000 Bohr magnetons per cell, calculated total energy -10.749 eV per atom. Number 2: ρ 13.88 Mg/m³, total magnetic moment 0.000 Bohr magnetons per cell, calculated total energy -11.394 eV per atom.